1.
# Tm3ZrRu3

A relaxed structure of Tm3ZrRu3 (PBE, Alexandria via LeMat-Bulk).

Values from the calculation:
ΔE_f = -3.14 eV per formula unit
total magnetization = 0.00 μB per cell

a = 6.676 Å, b = 6.676 Å, c = 6.620 Å
α = 90.00°, β = 90.00°, γ = 86.34°
Fractional positions:
1 Tm 0.245 0.245 0.500
2 Tm 0.250 0.750 0.500
3 Tm 0.750 0.250 0.500
4 Tm 0.272 0.728 0.000
5 Tm 0.728 0.272 0.000
6 Tm 0.755 0.755 0.500
7 Zr 0.224 0.224 0.000
8 Zr 0.776 0.776 0.000
9 Ru 0.000 0.000 0.756
10 Ru 0.500 0.000 0.241
11 Ru 0.000 0.500 0.241
12 Ru 0.500 0.000 0.759
13 Ru 0.000 0.500 0.759
14 Ru 0.000 0.000 0.244



2.
# Tm2ZrRu

A relaxed structure of Tm2ZrRu (PBE, Alexandria via LeMat-Bulk).

Values from the calculation:
ΔE_f = -1.13 eV per formula unit
total magnetization = 0.00 μB per cell

a = 3.611 Å, b = 6.133 Å, c = 9.012 Å
α = 90.00°, β = 90.00°, γ = 107.15°
Fractional positions:
1 Tm 0.138 0.275 0.435
2 Tm 0.862 0.725 0.565
3 Tm 0.862 0.725 0.935
4 Tm 0.138 0.275 0.065
5 Zr 0.432 0.863 0.250
6 Zr 0.568 0.137 0.750
7 Ru 0.769 0.537 0.250
8 Ru 0.231 0.463 0.750



3.
# Tm2ZrRu

A relaxed structure of Tm2ZrRu (PBE, Alexandria via LeMat-Bulk).

Values from the calculation:
ΔE_f = 0.69 eV per formula unit
total magnetization = 0.00 μB per cell

a = 3.253 Å, b = 3.253 Å, c = 10.599 Å
α = 81.17°, β = 81.17°, γ = 60.00°
Fractional positions:
1 Ru 0.500 0.500 0.500
2 Tm 0.101 0.101 0.696
3 Tm 0.899 0.899 0.304
4 Zr 0.000 0.000 0.000



4.
# TmZrRu2

A relaxed structure of TmZrRu2 (PBE, Alexandria via LeMat-Bulk).

Values from the calculation:
ΔE_f = -2.26 eV per formula unit
total magnetization = 0.00 μB per cell

a = 4.684 Å, b = 4.683 Å, c = 4.684 Å
α = 59.99°, β = 60.00°, γ = 60.00°
Fractional positions:
1 Ru 0.000 0.000 0.000
2 Ru 0.500 0.500 0.500
3 Tm 0.750 0.750 0.750
4 Zr 0.250 0.250 0.250



5.
# Tm4ZrRu5

A relaxed structure of Tm4ZrRu5 (PBE, Alexandria via LeMat-Bulk).

Values from the calculation:
ΔE_f = -4.84 eV per formula unit
total magnetization = 0.00 μB per cell

a = 3.333 Å, b = 3.333 Å, c = 16.735 Å
α = 90.00°, β = 90.00°, γ = 90.00°
Fractional positions:
1 Tm 0.000 0.000 0.199
2 Tm 0.000 0.000 0.400
3 Tm 0.000 0.000 0.600
4 Tm 0.000 0.000 0.801
5 Zr 0.000 0.000 0.000
6 Ru 0.500 0.500 0.093
7 Ru 0.500 0.500 0.298
8 Ru 0.500 0.500 0.500
9 Ru 0.500 0.500 0.702
10 Ru 0.500 0.500 0.907



6.
# Tm2Zr3Ru2

A relaxed structure of Tm2Zr3Ru2 (PBE, Alexandria via LeMat-Bulk).

Values from the calculation:
ΔE_f = -2.37 eV per formula unit
total magnetization = 0.00 μB per cell

a = 3.629 Å, b = 6.007 Å, c = 8.385 Å
α = 114.84°, β = 90.00°, γ = 107.58°
Fractional positions:
1 Tm 0.849 0.697 0.196
2 Tm 0.151 0.303 0.804
3 Zr 0.500 0.000 0.000
4 Zr 0.619 0.239 0.440
5 Zr 0.381 0.761 0.560
6 Ru 0.836 0.673 0.762
7 Ru 0.164 0.327 0.238



7.
# U6Ru5

A relaxed structure of U6Ru5 (PBE, Alexandria via LeMat-Bulk).

Values from the calculation:
ΔE_f = -1.88 eV per formula unit
total magnetization = 0.00 μB per cell

a = 4.951 Å, b = 7.410 Å, c = 7.114 Å
α = 104.02°, β = 111.76°, γ = 112.21°
Fractional positions:
1 U 0.612 0.201 0.163
2 U 0.388 0.799 0.837
3 U 0.790 0.635 0.959
4 U 0.174 0.034 0.287
5 U 0.210 0.365 0.041
6 U 0.826 0.966 0.713
7 Ru 0.500 0.500 0.500
8 Ru 0.028 0.647 0.390
9 Ru 0.972 0.353 0.610
10 Ru 0.537 0.791 0.267
11 Ru 0.463 0.209 0.733



8.
# U4Ru

A relaxed structure of U4Ru (PBE, Alexandria via LeMat-Bulk).

Values from the calculation:
ΔE_f = 4.74 eV per formula unit
total magnetization = 11.29 μB per cell

a = 5.179 Å, b = 5.179 Å, c = 5.179 Å
α = 90.00°, β = 90.00°, γ = 90.00°
Each line ends with the local moment (μB).
Fractional positions:
1 Ru 0.500 0.500 0.500  -0.12
2 U 0.000 0.000 0.000  2.91
3 U 0.500 0.000 0.500  2.29
4 U 0.000 0.500 0.500  2.29
5 U 0.500 0.500 0.000  2.29



9.
# U5Ru3

A relaxed structure of U5Ru3 (PBE, Alexandria via LeMat-Bulk).

Values from the calculation:
ΔE_f = -0.96 eV per formula unit
total magnetization = 0.00 μB per cell

a = 5.637 Å, b = 8.262 Å, c = 7.698 Å
α = 81.73°, β = 68.52°, γ = 66.88°
Fractional positions:
1 U 0.764 0.519 0.500
2 U 0.237 0.480 0.500
3 U 0.226 0.713 0.837
4 U 0.775 0.286 0.163
5 U 0.370 0.141 0.318
6 U 0.631 0.858 0.682
7 U 0.438 0.286 0.837
8 U 0.563 0.713 0.163
9 U 0.814 0.858 0.318
10 U 0.187 0.141 0.682
11 Ru 0.223 0.000 0.055
12 Ru 0.778 0.000 0.945
13 Ru 0.783 0.177 0.500
14 Ru 0.218 0.822 0.500
15 Ru 0.809 0.500 0.882
16 Ru 0.191 0.500 0.118



10.
# U3Ru5

A relaxed structure of U3Ru5 (PBE, Alexandria via LeMat-Bulk).

Values from the calculation:
ΔE_f = -1.76 eV per formula unit
total magnetization = 2.70 μB per cell

a = 3.873 Å, b = 6.011 Å, c = 6.011 Å
α = 97.14°, β = 90.00°, γ = 90.00°
Each line ends with the local moment (μB).
Fractional positions:
1 U 0.000 0.500 0.500  1.21
2 U 0.500 0.782 0.218  1.04
3 U 0.500 0.218 0.782  1.04
4 Ru 0.000 0.000 0.000  -0.20
5 Ru 0.000 0.000 0.500  -0.18
6 Ru 0.000 0.500 0.000  -0.18
7 Ru 0.500 0.264 0.264  -0.13
8 Ru 0.500 0.736 0.736  -0.13



11.
# U4Ru3

A relaxed structure of U4Ru3 (PBE, Alexandria via LeMat-Bulk).

Values from the calculation:
ΔE_f = -0.92 eV per formula unit
total magnetization = 2.58 μB per cell

a = 3.436 Å, b = 3.440 Å, c = 11.329 Å
α = 98.73°, β = 98.73°, γ = 90.00°
Each line ends with the local moment (μB).
Fractional positions:
1 U 0.723 0.223 0.445  0.06
2 U 0.277 0.777 0.555  0.06
3 U 0.425 0.925 0.850  1.39
4 U 0.575 0.075 0.150  1.39
5 Ru 0.861 0.361 0.721  -0.16
6 Ru 0.000 0.500 0.000  -0.28
7 Ru 0.139 0.639 0.279  -0.16



12.
# U4Ru

A relaxed structure of U4Ru (PBE, Alexandria via LeMat-Bulk).

Values from the calculation:
ΔE_f = -0.66 eV per formula unit
total magnetization = 0.00 μB per cell

a = 5.079 Å, b = 5.076 Å, c = 5.108 Å
α = 120.21°, β = 120.19°, γ = 75.39°
Fractional positions:
1 U 0.145 0.407 0.776
2 U 0.855 0.593 0.224
3 U 0.407 0.855 0.631
4 U 0.593 0.145 0.369
5 Ru 0.000 0.000 0.000